No. 1
{
  "formula": "ZnGaBr2",
  "functional": "GGA-PBE",
  "state": "optimized geometry",
  "cell": [[2.415, 0.000, 8.916], [-1.207, 2.091, 8.916], [-1.207, -2.091, 8.916]],
  "species": ["Zn", "Ga", "Br", "Br"],
  "fractional_positions": [[0.000, 0.000, 0.000], [0.500, 0.500, 0.500], [0.906, 0.906, 0.906], [0.094, 0.094, 0.094]],
  "relative_energy_mev_per_atom": 70.2,
  "crystal_system": "trigonal",
  "raw_formation_energy_ev_per_atom": -0.202
}

***

No. 2
{
  "formula": "ZnGaBr3",
  "functional": "GGA-PBE",
  "state": "optimized geometry",
  "cell": [[-4.803, 1.446, -1.425], [0.663, -2.342, -4.611], [-1.919, -4.428, 1.974]],
  "species": ["Zn", "Ga", "Br", "Br", "Br"],
  "fractional_positions": [[0.000, 0.000, 0.000], [0.500, 0.500, 0.500], [0.000, 0.500, 0.000], [0.000, 0.000, 0.500], [0.500, 0.000, 0.000]],
  "relative_energy_mev_per_atom": 173.4,
  "crystal_system": "cubic",
  "raw_formation_energy_ev_per_atom": -0.552
}

***

No. 3
{
  "formula": "ZrGa3Br",
  "functional": "GGA-PBE",
  "state": "optimized geometry",
  "cell": [[5.056, 0.000, 0.000], [0.000, 5.056, 0.000], [0.000, 0.000, 5.056]],
  "species": ["Ga", "Ga", "Ga", "Br", "Zr"],
  "fractional_positions": [[0.000, 0.500, 0.000], [0.000, 0.000, 0.500], [0.500, 0.000, 0.000], [0.000, 0.000, 0.000], [0.500, 0.500, 0.500]],
  "relative_energy_mev_per_atom": 260.9,
  "crystal_system": "cubic",
  "raw_formation_energy_ev_per_atom": 0.746
}

***

No. 4
{
  "formula": "ZrGa3Br",
  "functional": "GGA-PBE",
  "state": "optimized geometry",
  "cell": [[5.437, 0.000, 0.000], [0.000, 5.437, 0.000], [0.000, 0.000, 5.437]],
  "species": ["Ga", "Ga", "Ga", "Br", "Zr"],
  "fractional_positions": [[0.000, 0.500, 0.000], [0.000, 0.000, 0.500], [0.500, 0.000, 0.000], [0.500, 0.500, 0.500], [0.000, 0.000, 0.000]],
  "relative_energy_mev_per_atom": 0.0,
  "crystal_system": "cubic",
  "raw_formation_energy_ev_per_atom": 0.485
}

***

No. 5
{
  "formula": "ZrGa3Br7",
  "functional": "GGA-PBE",
  "state": "optimized geometry",
  "cell": [[2.138, -6.789, -4.272], [7.922, -0.338, -2.458], [3.633, -4.566, 4.652]],
  "species": ["Zr", "Ga", "Ga", "Ga", "Br", "Br", "Br", "Br", "Br", "Br", "Br"],
  "fractional_positions": [[0.022, 0.022, 0.955], [0.770, 0.268, 0.469], [0.523, 0.523, 0.956], [0.268, 0.770, 0.469], [0.137, 0.137, 0.162], [0.691, 0.113, 0.171], [0.926, 0.352, 0.726], [0.113, 0.691, 0.171], [0.413, 0.413, 0.722], [0.352, 0.926, 0.726], [0.909, 0.909, 0.722]],
  "crystal_system": "monoclinic",
  "raw_formation_energy_ev_per_atom": -0.922
}

***

No. 6
{
  "formula": "ZrGaBr",
  "functional": "GGA-PBE",
  "state": "optimized geometry",
  "cell": [[-1.751, 2.693, -2.294], [-3.398, 0.030, -0.767], [-2.960, 8.650, 9.022]],
  "species": ["Zr", "Zr", "Ga", "Ga", "Br", "Br"],
  "fractional_positions": [[0.811, 0.079, 0.298], [0.189, 0.921, 0.702], [0.670, 0.104, 0.556], [0.330, 0.896, 0.444], [0.241, 0.364, 0.154], [0.759, 0.636, 0.846]],
  "crystal_system": "monoclinic",
  "raw_formation_energy_ev_per_atom": -0.775
}